[1]
This record from Alexandria via LeMat-Bulk describes a relaxed IrOs2Ru crystal. The functional is PBEsol.

Its total energy is -11.0458 eV per atom. As for the space-group type: Cm (8).

Structure (POSCAR):
```
IrOs2Ru
1.0
2.690 0.000 0.000
-1.345 4.466 0.001
0.000 -0.807 4.601
Ru Os Ir
1 2 1
direct
0.498 0.997 0.496
0.750 0.499 0.251
0.001 0.002 0.003
0.251 0.502 0.750
```


[2]
This record from Alexandria via LeMat-Bulk describes a relaxed IrOs2Ru crystal. The functional is PBEsol.

Its total energy is -11.0413 eV per atom. As for the space-group type: Pmmm (47).

Structure (POSCAR):
```
IrOs2Ru
1.0
-0.961 -1.780 -1.771
2.975 -2.293 0.690
-2.771 -2.413 3.930
Ru Os Ir
1 2 1
direct
0.500 0.500 0.000
0.000 0.000 0.754
0.000 0.000 0.246
0.500 0.500 0.500
```


[3]
This record from Alexandria via LeMat-Bulk describes a relaxed IrOsRu crystal. The functional is PBEsol.

Its total energy is -10.6985 eV per atom. As for the space-group type: P3m1 (156).

Structure (POSCAR):
```
IrOsRu
1.0
2.691 0.000 0.000
-1.345 2.330 0.000
0.000 0.000 6.603
Ru Os Ir
1 1 1
direct
0.667 0.333 0.338
0.333 0.667 0.661
0.000 0.000 0.000
```


[4]
This record from Alexandria via LeMat-Bulk describes a relaxed Ir3OsRu crystal. The functional is PBEsol.

Its total energy is -7.7676 eV per atom. As for the space-group type: Pm-3m (221).

Structure (POSCAR):
```
Ir3OsRu
1.0
-2.367 0.949 -3.751
0.188 -4.364 -1.222
-3.865 -0.793 2.238
Ir Ru Os
3 1 1
direct
0.000 0.500 0.000
0.000 0.000 0.500
0.500 0.000 0.000
0.000 0.000 0.000
0.500 0.500 0.500
```


| no. | formation energy (kcal/mol of atoms) | density of states at the Fermi level (states/eV/f.u.) |
| --- | --- | --- |
| 1 | 1.41 | 3.19 |
| 2 | 1.51 | 3.02 |
| 3 | 0.89 | 2.65 |
| 4 | 60.05 | 7.54 |